The following is a DFT calculation (PBE-GGA) of a geometry-optimized ZrTl2Br structure.

a = 3.423 Å, b = 3.423 Å, c = 11.110 Å
α = 90.00°, β = 90.00°, γ = 118.32°
Fractional coordinates of all 4 atoms:
Tl  0.000  0.000  0.024
Tl  0.500  0.500  0.279
Br  0.500  0.500  0.693
Zr  0.000  0.000  0.504

Offset from the most stable computed form, meV per atom: 116
M_tot, Bohr magnetons per cell: 0.0
Energy, eV per atom: -4.0195
Symmetry: Cmm2, No. 35